# 1
The following is a GGA-PBE calculation of an optimized crystal structure of ErCu3Ni, from Alexandria.

Cell: 6.4835 6.4835 4.8709 Å, 90.00 90.00 132.97°
Element x y z (fractional)
1 Er 0.1022 0.8978 0.7500
2 Er 0.8978 0.1022 0.2500
3 Cu 0.1134 0.4084 0.7500
4 Cu 0.3159 0.6841 0.2500
5 Cu 0.4084 0.1134 0.2500
6 Cu 0.5916 0.8866 0.7500
7 Cu 0.6841 0.3159 0.7500
8 Cu 0.8866 0.5916 0.2500
9 Ni 0.5000 0.5000 0.0000
10 Ni 0.5000 0.5000 0.5000

- DFT formation energy (eV/atom) = -0.186
- SG = No. 63
- total moment (μB/cell) = 0.00
- energy above the lowest structure with this stoichiometry (eV per atom) = 0.000
- total energy (eV/f.u.) = -23.562


# 2
The following is a GGA-PBE calculation of an optimized crystal structure of ErCu3Ni, from Alexandria.

Cell: 8.5890 8.5890 8.5890 Å, 147.55 147.55 46.55°
Element x y z (fractional)
1 Er 0.1793 0.1793 0.0000
2 Er 0.8207 0.8207 0.0000
3 Cu 0.3739 0.6216 0.7522
4 Cu 0.3784 0.1306 0.7522
5 Cu 0.3784 0.6261 0.2478
6 Cu 0.5424 0.0424 0.5000
7 Cu 0.8694 0.6216 0.2478
8 Cu 0.9576 0.4576 0.5000
9 Ni 0.2500 0.7500 0.5000
10 Ni 0.5000 0.5000 0.0000

- DFT formation energy (eV/atom) = 0.136
- SG = No. 119
- total moment (μB/cell) = 0.00
- energy above the lowest structure with this stoichiometry (eV per atom) = 0.322
- total energy (eV/f.u.) = -21.951